[1]
A relaxed BaZr4Ta crystal. Source: the Alexandria database, functional PBE.

Output
Density of states at the Fermi level ... 2.46 states/eV per atom
Symmetry ... No. 216
Magnetization ... 0.62 μB/cell
ΔH_f (0 K) ... 0.75 eV/atom

Cell: 5.9408 5.9408 5.9408 Å, 60.00 60.00 60.00°
Positions (direct):
Ba: 0.7500 0.7500 0.7500
Zr: 0.8827 0.3724 0.3724
Zr: 0.3724 0.3724 0.8827
Zr: 0.3724 0.8827 0.3724
Zr: 0.3724 0.3724 0.3724
Ta: 0.0000 0.0000 0.0000

=====

[2]
A relaxed PmFe11Si crystal. Source: the Alexandria database, functional PBE.

Output
Density of states at the Fermi level ... 1.01 states/eV per atom
Energy relative to the elements, uncorrected ... -0.091 eV/atom
Symmetry ... No. 12
Magnetization ... 22.63 μB/cell

Cell: 4.7015 6.3990 6.4321 Å, 82.18 68.56 68.14°
Positions (direct):
Pm: 0.0000 0.0000 0.0000
Fe: 0.2719 0.2289 0.2298
Fe: 0.7281 0.7711 0.7702
Fe: 0.4983 0.7711 0.2298
Fe: 0.5017 0.2289 0.7702
Fe: 0.3593 0.6361 0.6434
Fe: 0.6407 0.3639 0.3566
Fe: 0.9973 0.3639 0.6434
Fe: 0.0027 0.6361 0.3566
Fe: 0.0000 0.5000 0.0000
Fe: 0.5000 0.0000 0.5000
Fe: 0.0000 0.0000 0.5000
Si: 0.5000 0.5000 0.0000

=====

[3]
A relaxed Li2Cd2Pd crystal. Source: the Alexandria database, functional PBE.

Output
Density of states at the Fermi level ... 0.42 states/eV per atom
Symmetry ... No. 127
Magnetization ... 0.00 μB/cell
ΔE to the lowest computed polymorph ... 175 meV per atom
ΔH_f (0 K) ... -0.19 eV/atom

Cell: 7.2958 7.2958 3.0977 Å, 90.00 90.00 90.00°
Positions (direct):
Li: 0.3693 0.8693 0.0000
Li: 0.8693 0.6307 0.0000
Li: 0.6307 0.1307 0.0000
Li: 0.1307 0.3693 0.0000
Pd: 0.0000 0.0000 0.0000
Pd: 0.5000 0.5000 0.0000
Cd: 0.1688 0.6688 0.5000
Cd: 0.6688 0.8312 0.5000
Cd: 0.8312 0.3312 0.5000
Cd: 0.3312 0.1688 0.5000

=====

The highest density of states at the Fermi level belongs to which entry? BaZr4Ta